SrLa3Hg4 | PBE-GGA | relaxed

Calculated values
Size of the total moment, μB per cell: 0.36
Crystal system: tetragonal
Formation enthalpy at 0 K, meV/atom: -513
D(E_F), states/eV per cell: 6.0

Geometry as CIF:
```
data_SrLa3Hg4
_chemical_formula_sum 'Sr1 La3 Hg4'
_cell_length_a 5.530
_cell_length_b 5.530
_cell_length_c 7.933
_cell_angle_alpha 90.00
_cell_angle_beta 90.00
_cell_angle_gamma 90.00
_symmetry_space_group_name_H-M 'P 4/m m m'
_symmetry_Int_Tables_number 123
_symmetry_space_group_name_Hall '-P 4 2'
loop_
_atom_site_label
_atom_site_type_symbol
_atom_site_fract_x
_atom_site_fract_y
_atom_site_fract_z
_atom_site_occupancy
Sr1 Sr 0.000 0.000 0.000 1
La1 La 0.000 0.000 0.500 1
La2 La 0.500 0.500 0.000 1
La3 La 0.500 0.500 0.500 1
Hg1 Hg 0.000 0.500 0.254 1
```